<A>
The following is a DFT calculation (PBE) of a geometry-optimized BeTl2Cl structure.

Cell: 3.2167 6.1706 10.3467 Å, 90.00 90.00 90.00°
Fractional positions:
1 Be 0.0000 0.0000 0.0000
2 Be 0.5000 0.5000 0.5000
3 Tl 0.0000 0.0000 0.4632
4 Tl 0.0000 0.5000 0.2776
5 Tl 0.5000 0.0000 0.7776
6 Tl 0.5000 0.5000 0.9632
7 Cl 0.0000 0.5000 0.6269
8 Cl 0.5000 0.0000 0.1269

Results
* calculated volume: 25.67 A^3/atom
* SG: No. 44
* total magnetization: 0.000 μB per formula unit

<B>
The following is a DFT calculation (PBE) of a geometry-optimized BeTl2Cl structure.

Cell: 7.4613 7.4613 7.4613 Å, 90.00 90.00 90.00°
Fractional positions:
1 Be 0.0000 0.0000 0.0000
2 Be 0.0000 0.5000 0.5000
3 Be 0.5000 0.0000 0.5000
4 Be 0.5000 0.5000 0.0000
5 Tl 0.2500 0.2500 0.2500
6 Tl 0.2500 0.2500 0.7500
7 Tl 0.2500 0.7500 0.2500
8 Tl 0.2500 0.7500 0.7500
9 Tl 0.7500 0.2500 0.2500
10 Tl 0.7500 0.2500 0.7500
11 Tl 0.7500 0.7500 0.2500
12 Tl 0.7500 0.7500 0.7500
13 Cl 0.0000 0.0000 0.5000
14 Cl 0.0000 0.5000 0.0000
15 Cl 0.5000 0.0000 0.0000
16 Cl 0.5000 0.5000 0.5000

Results
* calculated volume: 25.96 A^3/atom
* SG: No. 225
* total magnetization: 0.000 μB per formula unit

The winner here is <A>, beating the second structure by 351 meV per atom.

<A>
The following is a DFT calculation (PBE) of a geometry-optimized BeTl2Cl structure.

Cell: 3.5192 3.6669 7.6234 Å, 90.00 92.52 90.00°
Fractional positions:
1 Be 0.0000 0.0000 0.0000
2 Tl 0.4950 0.5000 0.2234
3 Tl 0.5050 0.5000 0.7766
4 Cl 0.0000 0.0000 0.5000

Results
* calculated volume: 24.57 A^3/atom
* SG: No. 10
* total magnetization: 0.000 μB per formula unit

<B>
The following is a DFT calculation (PBE) of a geometry-optimized BeTl2Cl structure.

Cell: 7.4974 7.4974 7.4974 Å, 90.00 90.00 90.00°
Fractional positions:
1 Be 0.0000 0.0000 0.0000
2 Be 0.0000 0.5000 0.5000
3 Be 0.5000 0.0000 0.5000
4 Be 0.5000 0.5000 0.0000
5 Tl 0.0000 0.0000 0.5000
6 Tl 0.0000 0.5000 0.0000
7 Tl 0.2500 0.2500 0.7500
8 Tl 0.2500 0.7500 0.2500
9 Tl 0.5000 0.0000 0.0000
10 Tl 0.5000 0.5000 0.5000
11 Tl 0.7500 0.2500 0.2500
12 Tl 0.7500 0.7500 0.7500
13 Cl 0.2500 0.2500 0.2500
14 Cl 0.2500 0.7500 0.7500
15 Cl 0.7500 0.2500 0.7500
16 Cl 0.7500 0.7500 0.2500

Results
* calculated volume: 26.34 A^3/atom
* SG: No. 216
* total magnetization: 0.001 μB per formula unit

<C>
The following is a DFT calculation (PBE) of a geometry-optimized BeTl2Cl structure.

Cell: 3.8309 5.1854 5.1878 Å, 90.00 90.01 90.00°
Fractional positions:
1 Be 0.0000 0.0000 0.0000
2 Tl 0.0042 0.0000 0.4998
3 Tl 0.9951 0.5000 0.9995
4 Cl 0.4994 0.5000 0.4986

Results
* calculated volume: 25.76 A^3/atom
* SG: No. 6
* total magnetization: 0.000 μB per formula unit

The winner here is <C>, beating the second structure by 181 meV per atom.

<A>
The following is a DFT calculation (PBE) of a geometry-optimized BeTl2Cl structure.

Cell: 4.6504 5.4505 7.7007 Å, 90.00 90.00 90.00°
Fractional positions:
1 Be 0.0000 0.0000 0.0000
2 Be 0.5000 0.5000 0.0000
3 Tl 0.0000 0.5000 0.2203
4 Tl 0.0000 0.5000 0.7797
5 Tl 0.5000 0.0000 0.2203
6 Tl 0.5000 0.0000 0.7797
7 Cl 0.0000 0.0000 0.5000
8 Cl 0.5000 0.5000 0.5000

Results
* calculated volume: 24.40 A^3/atom
* SG: No. 65
* total magnetization: 0.000 μB per formula unit

<B>
The following is a DFT calculation (PBE) of a geometry-optimized BeTl2Cl structure.

Cell: 3.7475 4.9957 11.3523 Å, 90.00 90.00 90.00°
Fractional positions:
1 Be 0.0000 0.0000 0.0000
2 Be 0.5000 0.5000 0.5000
3 Tl 0.0000 0.5000 0.3291
4 Tl 0.0000 0.5000 0.6709
5 Tl 0.5000 0.0000 0.1709
6 Tl 0.5000 0.0000 0.8291
7 Cl 0.0000 0.0000 0.5000
8 Cl 0.5000 0.5000 0.0000

Results
* calculated volume: 26.57 A^3/atom
* SG: No. 71
* total magnetization: 0.000 μB per formula unit

The winner here is <A>, beating the second structure by 26 meV per atom.